First-principles (PBE with a Hubbard U) data for ErCoAsO after structural relaxation, as listed in OQMD via LeMat-Bulk.

Calculated total energy   -6.4635 eV per atom
Symmetry   Aem2 (39)
Magnetization   0.14 μB/atom
Excess energy over the best structure of this formula in the dataset   0.002 eV per atom

a = 3.933 Å, b = 3.933 Å, c = 7.659 Å
α = 89.97°, β = 89.97°, γ = 89.99°
Positions (direct):
1 Er 0.249 0.249 0.611
2 Er 0.748 0.748 0.889
3 Co 0.752 0.252 0.250
4 Co 0.252 0.752 0.250
5 O 0.248 0.748 0.750
6 O 0.748 0.248 0.750
7 As 0.251 0.251 0.098
8 As 0.752 0.752 0.402